1.
LiInPb | PBE | relaxed

Summary:
The value obtained for the formation energy is 0.136 eV/f.u. The space-group type is I4/mmm (139).

a b c (Å): 11.8353 11.8353 8.7350
angles (deg): 47.35 47.35 90.00
Closest atoms and distances in Å follow each position.
Fractional coordinates of all 12 atoms:
Pb 0.0000 0.6396 0.0000  2 Li 3.11, 2 In 3.12, 5 Pb 3.30-3.42
Pb 0.0000 0.3604 0.0000  2 Li 3.11, 2 In 3.12, 5 Pb 3.30-3.42
Pb 0.6396 0.0000 0.0000  2 Li 3.11, 2 In 3.12, 5 Pb 3.30-3.42
Pb 0.3604 0.0000 0.0000  2 Li 3.11, 2 In 3.12, 5 Pb 3.30-3.42
In 0.8668 0.8668 0.0000  4 Li 3.08, 2 Pb 3.12, 2 In 3.15
In 0.1332 0.1332 0.0000  4 Li 3.08, 2 Pb 3.12, 2 In 3.15
In 0.8668 0.1332 0.0000  4 Li 3.08, 2 Pb 3.12, 2 In 3.15
In 0.1332 0.8668 0.0000  4 Li 3.08, 2 Pb 3.12, 2 In 3.15
Li 0.5000 0.7050 0.0000  4 In 3.08, 2 Pb 3.11, 2 Li 3.43
Li 0.5000 0.2950 0.0000  4 In 3.08, 2 Pb 3.11, 2 Li 3.43
Li 0.7050 0.5000 0.0000  4 In 3.08, 2 Pb 3.11, 2 Li 3.43
Li 0.2950 0.5000 0.0000  4 In 3.08, 2 Pb 3.11, 2 Li 3.43

2.
BaYSe2 | PBE | relaxed

Summary:
The space-group type is Fm-3m (225). Its raw formation energy is -573.3 kJ/mol of formula units.

a b c (Å): 5.3370 5.3370 5.3370
angles (deg): 60.00 60.00 60.00
Closest atoms and distances in Å follow each position.
Fractional coordinates of all 4 atoms:
Se 0.2500 0.2500 0.2500  4 Ba 3.27, 4 Y 3.27
Se 0.7500 0.7500 0.7500  4 Ba 3.27, 4 Y 3.27
Y 0.0000 0.0000 0.0000  8 Se 3.27
Ba 0.5000 0.5000 0.5000  8 Se 3.27

3.
TaSnPS2 | PBE | relaxed

Summary:
The space-group type is P4/mmm (123). Its raw formation energy is 555.7 kJ/mol of formula units.

a b c (Å): 4.8386 4.8386 4.9306
angles (deg): 90.00 90.00 90.00
Closest atoms and distances in Å follow each position.
Fractional coordinates of all 5 atoms:
Ta 0.5000 0.5000 0.5000  4 P 3.42, 8 S 3.45
S 0.0000 0.5000 0.0000  2 Sn 2.42
S 0.5000 0.0000 0.0000  2 Sn 2.42
P 0.0000 0.0000 0.5000  2 Sn 2.47
Sn 0.0000 0.0000 0.0000  4 S 2.42, 2 P 2.47

4.
DyHoHg4 | PBE | relaxed

Summary:
The value obtained for the formation energy is -1.098 eV/f.u. The space-group type is F-43m (216).

a b c (Å): 5.9393 5.9393 5.9393
angles (deg): 60.00 60.00 60.00
Closest atoms and distances in Å follow each position.
Fractional coordinates of all 6 atoms:
Hg 0.1250 0.6250 0.6250  6 Hg 2.97
Hg 0.6250 0.1250 0.6250  6 Hg 2.97
Hg 0.6250 0.6250 0.1250  6 Hg 2.97
Hg 0.6250 0.6250 0.6250  6 Hg 2.97
Ho 0.2500 0.2500 0.2500  12 Hg 3.48, 4 Dy 3.64
Dy 0.0000 0.0000 0.0000  12 Hg 3.48, 4 Ho 3.64

5.
Tb3SmHo2As6 | PBE | relaxed

Summary:
The value obtained for the formation energy is -18.388 eV/f.u. The space-group type is C2/m (12).

a b c (Å): 7.1681 7.1681 7.1689
angles (deg): 99.59 99.59 119.99
Closest atoms and distances in Å follow each position.
Fractional coordinates of all 12 atoms:
Tb 0.1657 0.8343 0.5000  6 As 2.91-2.94
Tb 0.8343 0.1657 0.5000  6 As 2.91-2.94
Tb 0.5000 0.5000 0.5000  6 As 2.91-2.94
As 0.5795 0.9166 0.7498  3 Tb 2.91-2.94, 2 Ho 2.91-2.92, 1 Sm 2.95
As 0.4205 0.0834 0.2502  3 Tb 2.91-2.94, 2 Ho 2.91-2.92, 1 Sm 2.95
As 0.2540 0.2540 0.7505  3 Tb 2.91-2.93, 2 Ho 2.92, 1 Sm 2.95
As 0.9166 0.5795 0.7498  3 Tb 2.91-2.94, 2 Ho 2.91-2.92, 1 Sm 2.95
As 0.7460 0.7460 0.2495  3 Tb 2.91-2.93, 2 Ho 2.92, 1 Sm 2.95
As 0.0834 0.4205 0.2502  3 Tb 2.91-2.94, 2 Ho 2.91-2.92, 1 Sm 2.95
Sm 0.0000 0.0000 0.0000  6 As 2.95
Ho 0.6670 0.3330 0.0000  6 As 2.91-2.92
Ho 0.3330 0.6670 0.0000  6 As 2.91-2.92

6.
Mg2NiSeI | PBE | relaxed

Summary:
The space-group type is P4/mmm (123). Its raw formation energy is -67.8 kJ/mol of formula units.

a b c (Å): 5.4256 4.3398 5.4256
angles (deg): 90.00 90.00 90.00
Closest atoms and distances in Å follow each position.
Fractional coordinates of all 5 atoms:
Mg 0.0000 0.0000 0.5000  2 Se 2.71
Mg 0.5000 0.0000 0.0000  2 Se 2.71
I 0.5000 0.5000 0.5000  8 Mg 3.47, 4 Ni 3.84
Se 0.0000 0.0000 0.0000  2 Ni 2.17
Ni 0.0000 0.5000 0.0000  2 Se 2.17

7.
NaAg2IBr2 | PBE | relaxed

Summary:
The space-group type is P2_1/m (11). Its raw formation energy is -372.4 kJ/mol of formula units.

a b c (Å): 7.7934 4.6621 11.3862
angles (deg): 90.00 90.00 90.00
Closest atoms and distances in Å follow each position.
Fractional coordinates of all 12 atoms:
Ag 0.7500 0.7506 0.6894  2 Br 2.79, 2 I 2.79
Ag 0.7500 0.2516 0.3195  1 I 2.68, 2 Br 2.71
Ag 0.2500 0.7484 0.6805  1 I 2.68, 2 Br 2.71
Ag 0.2500 0.2494 0.3106  2 Br 2.79, 2 I 2.79
Br 0.4871 0.7480 0.8551  2 Ag 2.71-2.79
Br 0.9871 0.2520 0.1449  2 Ag 2.71-2.79
Br 0.0129 0.7480 0.8551  2 Ag 2.71-2.79
Br 0.5129 0.2520 0.1449  2 Ag 2.71-2.79
I 0.7500 0.2504 0.5552  3 Ag 2.68-2.79
I 0.2500 0.7496 0.4448  3 Ag 2.68-2.79
Na 0.2500 0.2479 0.9454  6 Br 3.06-3.15
Na 0.7500 0.7521 0.0546  6 Br 3.06-3.15

8.
Dy2Pu3UN6 | PBE | relaxed

Summary:
The space-group type is C2/m (12). Its raw formation energy is -1659.5 kJ/mol of formula units.

a b c (Å): 6.0142 6.0142 6.0225
angles (deg): 99.60 99.60 119.98
Closest atoms and distances in Å follow each position.
Fractional coordinates of all 12 atoms:
Dy 0.6663 0.3337 0.0000  6 N 2.47
Dy 0.3337 0.6663 0.0000  6 N 2.47
N 0.7634 0.7634 0.2427  1 U 2.36, 3 Pu 2.46-2.56, 2 Dy 2.47
N 0.6021 0.9198 0.7593  1 U 2.35, 3 Pu 2.45-2.54, 2 Dy 2.47
N 0.0802 0.3979 0.2407  1 U 2.35, 3 Pu 2.45-2.54, 2 Dy 2.47
N 0.3979 0.0802 0.2407  1 U 2.35, 3 Pu 2.45-2.54, 2 Dy 2.47
N 0.9198 0.6021 0.7593  1 U 2.35, 3 Pu 2.45-2.54, 2 Dy 2.47
N 0.2366 0.2366 0.7573  1 U 2.36, 3 Pu 2.46-2.56, 2 Dy 2.47
U 0.0000 0.0000 0.0000  6 N 2.35-2.36
Pu 0.8307 0.1693 0.5000  6 N 2.45-2.54
Pu 0.1693 0.8307 0.5000  6 N 2.45-2.54
Pu 0.5000 0.5000 0.5000  6 N 2.45-2.56

9.
TaZnW2S | PBE | relaxed

Summary:
The space-group type is P4/mmm (123). Its raw formation energy is 905.8 kJ/mol of formula units.

a b c (Å): 4.9729 4.5987 4.9729
angles (deg): 90.00 90.00 90.00
Closest atoms and distances in Å follow each position.
Fractional coordinates of all 5 atoms:
W 0.5000 0.0000 0.0000  2 Ta 2.49
W 0.0000 0.0000 0.5000  2 Ta 2.49
S 0.0000 0.5000 0.0000  2 Ta 2.30
Zn 0.5000 0.5000 0.5000  8 W 3.39, 4 S 3.52
Ta 0.0000 0.0000 0.0000  2 S 2.30, 4 W 2.49

10.
Cr2CoRu | PBE | relaxed

Summary:
The value obtained for the formation energy is 2.554 eV/f.u. The space-group type is I-42d (122).

a b c (Å): 3.5617 3.5617 8.5698
angles (deg): 78.01 78.01 90.00
Closest atoms and distances in Å follow each position.
Fractional coordinates of all 8 atoms:
Co 0.2500 0.7500 0.5000  4 Cr 2.36, 4 Ru 2.52
Co 0.5000 0.5000 0.0000  4 Cr 2.36, 4 Ru 2.52
Ru 0.0000 0.0000 0.0000  4 Cr 2.45, 4 Co 2.52
Ru 0.7500 0.2500 0.5000  4 Cr 2.45, 4 Co 2.52
Cr 0.5903 0.1250 0.2500  2 Cr 2.35, 2 Co 2.36, 2 Ru 2.45
Cr 0.1597 0.6250 0.2500  2 Cr 2.35, 2 Co 2.36, 2 Ru 2.45
Cr 0.8750 0.8403 0.7500  2 Cr 2.35, 2 Co 2.36, 2 Ru 2.45
Cr 0.3750 0.4097 0.7500  2 Cr 2.35, 2 Co 2.36, 2 Ru 2.45

11.
CrAsRu2 | PBE | relaxed

Summary:
The value obtained for the formation energy is 0.675 eV/f.u. The space-group type is R-3m (166).

a b c (Å): 8.2948 8.2948 8.2948
angles (deg): 19.60 19.60 19.60
Closest atoms and distances in Å follow each position.
Fractional coordinates of all 4 atoms:
As 0.2500 0.2500 0.2500  6 Ru 2.64, 6 As 2.82
Cr 0.7500 0.7500 0.7500  6 Ru 2.58, 6 Cr 2.82
Ru 0.0016 0.0016 0.0016  3 Cr 2.58, 3 As 2.64, 6 Ru 2.82
Ru 0.4984 0.4984 0.4984  3 Cr 2.58, 3 As 2.64, 6 Ru 2.82

12.
Sc4AlFe8 | PBE | relaxed

Summary:
The value obtained for the formation energy is 2.903 eV/f.u. The space-group type is I4/mmm (139).

a b c (Å): 6.5067 6.5067 6.5068
angles (deg): 115.00 115.00 98.91
Closest atoms and distances in Å follow each position.
Fractional coordinates of all 13 atoms:
Fe 0.7191 0.5000 0.2191  4 Fe 2.17-2.28
Fe 0.0000 0.3347 0.3347  3 Fe 2.28-2.31, 1 Al 2.34
Fe 0.2809 0.5000 0.7809  4 Fe 2.17-2.28
Fe 0.5000 0.7191 0.2191  4 Fe 2.17-2.28
Fe 0.6653 0.0000 0.6653  3 Fe 2.28-2.31, 1 Al 2.34
Fe 0.5000 0.2809 0.7809  4 Fe 2.17-2.28
Fe 0.3347 0.0000 0.3347  3 Fe 2.28-2.31, 1 Al 2.34
Fe 0.0000 0.6653 0.6653  3 Fe 2.28-2.31, 1 Al 2.34
Sc 0.0000 0.0000 0.5000  8 Fe 2.75-2.81
Sc 0.5000 0.5000 0.5000  8 Fe 2.75-2.81
Sc 0.0000 0.5000 0.0000  8 Fe 2.75-2.81
Sc 0.5000 0.0000 0.0000  8 Fe 2.75-2.81
Al 0.0000 0.0000 0.0000  4 Fe 2.34